Ca6Cu2Hg: optimized geometry, PBE-GGA.

The structure in POSCAR format:
```
Ca6Cu2Hg
1.0
-7.716 4.350 -0.843
2.349 -4.387 -7.376
-0.591 -6.279 6.276
Ca Cu Hg
12 4 2
Direct
0.535 0.717 0.818 Ca
0.465 0.283 0.182 Ca
0.100 0.283 0.818 Ca
0.900 0.717 0.182 Ca
0.803 0.763 0.566 Ca
0.197 0.237 0.434 Ca
0.197 0.763 0.960 Ca
0.803 0.237 0.040 Ca
0.698 0.372 0.674 Ca
0.302 0.628 0.326 Ca
0.302 0.976 0.674 Ca
0.698 0.024 0.326 Ca
0.500 0.385 0.885 Cu
0.500 0.615 0.115 Cu
0.630 0.000 0.630 Cu
0.370 0.000 0.370 Cu
0.000 0.500 0.500 Hg
0.000 0.000 0.000 Hg
```

Values from the calculation:
- calculated total energy (eV per formula unit) = -22.200
- volume (Å³/cell) = 539.3
- N(E_F) (states/eV per cell) = 17.210
- total magnetic moment (μB per formula unit) = 0.000


Ca2CuHg: optimized geometry, PBE-GGA.

The structure in POSCAR format:
```
Ca2CuHg
1.0
-0.995 -3.447 -0.670
3.114 -1.208 1.592
-0.307 -1.504 8.191
Ca Hg Cu
2 1 1
Direct
0.000 0.985 0.014 Ca
0.000 0.515 0.486 Ca
0.500 0.750 0.750 Hg
0.500 0.250 0.250 Cu
```

Values from the calculation:
- calculated total energy (eV per formula unit) = -9.555
- volume (Å³/cell) = 100.5
- N(E_F) (states/eV per cell) = 3.028
- total magnetic moment (μB per formula unit) = 0.000


Ca2CuHg: optimized geometry, PBE-GGA.

The structure in POSCAR format:
```
Ca2CuHg
1.0
-5.033 -1.197 -3.496
0.724 -1.304 -6.063
1.497 -1.647 5.834
Ca Hg Cu
2 1 1
Direct
0.014 0.014 0.000 Ca
0.720 0.220 0.500 Ca
0.289 0.789 0.500 Hg
0.478 0.478 0.000 Cu
```

Values from the calculation:
- calculated total energy (eV per formula unit) = -9.211
- volume (Å³/cell) = 101.8
- N(E_F) (states/eV per cell) = 3.056
- total magnetic moment (μB per formula unit) = 0.000


Q: Among the records above, which one has the lowest N(E_F)?
A: number 2


Q: Number 1 is which compound?
A: Ca6Cu2Hg


Q: calculated total energy of number 3 (Ca2CuHg)?
A: -9.211 eV per formula unit